NdGa3NiIr: relaxed, PBE.

Geometry as extended XYZ:
```
12
Lattice="3.0567 -5.8428 0.0000 3.0567 5.8428 0.0000 0.0000 0.0000 6.3207" Properties=species:S:1:pos:R:3 pbc="T T T"
Nd 3.0567 3.1007 4.7405
Nd 3.0567 -3.1007 1.5802
Ga 1.3176 0.0000 0.0000
Ga 1.3176 0.0000 3.1604
Ga 3.0567 1.9570 1.5802
Ga 3.0567 -1.9570 4.7405
Ga 4.7958 0.0000 0.0000
Ga 4.7958 0.0000 3.1604
Ni 3.0567 0.3449 4.7405
Ni 3.0567 -0.3449 1.5802
Ir 3.0567 4.3368 1.5802
Ir 3.0567 -4.3368 4.7405
```

DFT total energy   -62.17 eV per cell
Energy of formation from the pure elements   -432.4 meV/atom